# 1
A relaxed MnV2HRh crystal. Source: Alexandria, functional PBE.

Structure (CIF):
```
data_MnV2HRh
_chemical_formula_sum 'Mn1 V2 H1 Rh1'
_cell_length_a 3.855
_cell_length_b 3.855
_cell_length_c 3.659
_cell_angle_alpha 90.00
_cell_angle_beta 90.00
_cell_angle_gamma 90.00
_space_group_name_H-M_alt 'P 4/m m m'
_space_group_IT_number 123
_space_group_name_Hall '-P 4 2'
loop_
_atom_site_label
_atom_site_type_symbol
_atom_site_fract_x
_atom_site_fract_y
_atom_site_fract_z
_atom_site_occupancy
Mn1 Mn 0.000 0.000 0.000 1
V1 V 0.000 0.500 0.500 1
H1 H 0.000 0.000 0.500 1
Rh1 Rh 0.500 0.500 0.000 1
```

DFT total energy = -39.0 eV for the cell shown
Energy above the most stable polymorph in this dataset = 0.0 meV/atom

***

# 2
A relaxed HoTiTcGe2 crystal. Source: Alexandria, functional PBE.

Structure (CIF):
```
data_HoTiTcGe2
_chemical_formula_sum 'Ho2 Ti2 Tc2 Ge4'
_cell_length_a 3.962
_cell_length_b 3.962
_cell_length_c 11.576
_cell_angle_alpha 90.00
_cell_angle_beta 90.00
_cell_angle_gamma 90.00
_space_group_name_H-M_alt 'I -4 m 2'
_space_group_IT_number 119
_space_group_name_Hall 'I -4 -2'
loop_
_atom_site_label
_atom_site_type_symbol
_atom_site_fract_x
_atom_site_fract_y
_atom_site_fract_z
_atom_site_occupancy
Ho1 Ho 0.000 0.000 0.000 1
Ti1 Ti 0.000 0.500 0.750 1
Tc1 Tc 0.000 0.500 0.250 1
Ge1 Ge 0.000 0.000 0.392 1
```

Energy relative to the elements = -0.652 eV per atom
DFT total energy = -70.7 eV for the cell shown

***

# 3
A relaxed CsAlOs3 crystal. Source: Alexandria, functional PBE.

Structure (CIF):
```
data_CsAlOs3
_chemical_formula_sum 'Cs1 Al1 Os3'
_cell_length_a 4.735
_cell_length_b 4.735
_cell_length_c 4.735
_cell_angle_alpha 90.00
_cell_angle_beta 90.00
_cell_angle_gamma 90.00
_space_group_name_H-M_alt 'P m -3 m'
_space_group_IT_number 221
_space_group_name_Hall '-P 4 2 3'
loop_
_atom_site_label
_atom_site_type_symbol
_atom_site_fract_x
_atom_site_fract_y
_atom_site_fract_z
_atom_site_occupancy
Cs1 Cs 0.000 0.000 0.000 1
Al1 Al 0.500 0.500 0.500 1
Os1 Os 0.000 0.500 0.500 1
```

Energy relative to the elements = 2.128 eV per atom
DFT total energy = -27.6 eV for the cell shown
Energy above the most stable polymorph in this dataset = 0.0 meV/atom

***

DFT total energy of number 1 (MnV2HRh)?
-39.0 eV for the cell shown